(1)
Density functional theory data (GGA-PBE) for crystalline CePrHo14 at its relaxed geometry.

a = 7.0763 Å, b = 7.0763 Å, c = 10.0025 Å
α = 90.00°, β = 90.00°, γ = 90.00°
Space group P4/mmm (No. 123)
Symmetry-distinct sites (fractional):
Ce1 0.0000 0.0000 0.0000 [1 per cell]
Pr1 0.5000 0.5000 0.0000 [1 per cell]
Ho1 0.0000 0.0000 0.5000 [1 per cell]
Ho2 0.0000 0.5000 0.0000 [2 per cell]
Ho3 0.0000 0.5000 0.5000 [2 per cell]
Ho4 0.2482 0.2482 0.2518 [8 per cell]
Ho5 0.5000 0.5000 0.5000 [1 per cell]

Output
As for the total DFT energy (no corrections): -4.64 eV per atom.


(2)
Density functional theory data (GGA-PBE) for crystalline Ce2PrHo at its relaxed geometry.

a = 3.5254 Å, b = 3.5254 Å, c = 34.9486 Å
α = 90.00°, β = 90.00°, γ = 120.00°
Space group R3m (No. 160, hexagonal axes)
Symmetry-distinct sites (fractional):
Ce1 0.0000 0.0000 0.0000 [3 per cell]
Ce2 0.0000 0.0000 0.1621 [3 per cell]
Pr1 0.0000 0.0000 0.5792 [3 per cell]
Ho1 0.0000 0.0000 0.7481 [3 per cell]

Output
The energy above the most stable polymorph in this dataset comes out at 0.0 kJ per mole of atoms.


(3)
Density functional theory data (GGA-PBE) for crystalline CePr2Ho at its relaxed geometry.

a = 5.1230 Å, b = 5.1230 Å, c = 5.0812 Å
α = 90.00°, β = 90.00°, γ = 90.00°
Space group P4/mmm (No. 123)
Symmetry-distinct sites (fractional):
Ce1 0.0000 0.0000 0.0000 [1 per cell]
Pr1 0.0000 0.5000 0.5000 [2 per cell]
Ho1 0.5000 0.5000 0.0000 [1 per cell]

Output
The energy above the most stable polymorph in this dataset comes out at 1.3 kJ per mole of atoms.


(4)
Density functional theory data (GGA-PBE) for crystalline CePr3Ho4 at its relaxed geometry.

a = 3.4368 Å, b = 11.6769 Å, c = 13.1707 Å
α = 90.00°, β = 90.00°, γ = 90.00°
Space group Immm (No. 71)
Symmetry-distinct sites (fractional):
Ce1 0.0000 0.0000 0.0000 [2 per cell]
Pr1 0.0000 0.0000 0.5000 [2 per cell]
Pr2 0.0000 0.5000 0.2644 [4 per cell]
Ho1 0.0000 0.2498 0.1330 [8 per cell]

Output
As for the total DFT energy (no corrections): -4.67 eV per atom.


(5)
Density functional theory data (GGA-PBE) for crystalline CePr2Ho at its relaxed geometry.

a = 3.6183 Å, b = 3.6183 Å, c = 35.0970 Å
α = 90.00°, β = 90.00°, γ = 120.00°
Space group R3m (No. 160, hexagonal axes)
Symmetry-distinct sites (fractional):
Ce1 0.0000 0.0000 0.0000 [3 per cell]
Pr1 0.0000 0.0000 0.4157 [3 per cell]
Pr2 0.0000 0.0000 0.5837 [3 per cell]
Ho1 0.0000 0.0000 0.8331 [3 per cell]

Output
The energy above the most stable polymorph in this dataset comes out at 0.0 kJ per mole of atoms.


(6)
Density functional theory data (GGA-PBE) for crystalline CePr4Ho4 at its relaxed geometry.

a = 10.8454 Å, b = 10.8454 Å, c = 5.0982 Å
α = 90.00°, β = 90.00°, γ = 90.00°
Space group I4/mmm (No. 139)
Symmetry-distinct sites (fractional):
Ce1 0.0000 0.0000 0.0000 [2 per cell]
Pr1 0.1650 0.1650 0.5000 [8 per cell]
Ho1 0.0000 0.3355 0.0000 [8 per cell]

Output
As for the total DFT energy (no corrections): -4.77 eV per atom.


(7)
Density functional theory data (GGA-PBE) for crystalline CePr2Ho at its relaxed geometry.

a = 8.1738 Å, b = 8.1738 Å, c = 8.1738 Å
α = 90.00°, β = 90.00°, γ = 90.00°
Space group Fm-3m (No. 225)
Symmetry-distinct sites (fractional):
Ce1 0.0000 0.0000 0.0000 [4 per cell]
Pr1 0.2500 0.2500 0.2500 [8 per cell]
Ho1 0.0000 0.0000 0.5000 [4 per cell]

Output
The energy above the most stable polymorph in this dataset comes out at 12.8 kJ per mole of atoms.


(8)
Density functional theory data (GGA-PBE) for crystalline CePr4Ho5 at its relaxed geometry.

a = 15.3351 Å, b = 5.8380 Å, c = 9.8916 Å
α = 90.00°, β = 129.36°, γ = 90.00°
Space group C2/m (No. 12)
Symmetry-distinct sites (fractional):
Ce1 0.0000 0.0000 0.0000 [2 per cell]
Pr1 0.2376 0.5000 0.3983 [4 per cell]
Pr2 0.2472 0.0000 0.1641 [4 per cell]
Ho1 0.0000 0.5000 0.5000 [2 per cell]
Ho2 0.0674 0.0000 0.7228 [4 per cell]
Ho3 0.0746 0.5000 0.9203 [4 per cell]

Output
As for the total DFT energy (no corrections): -4.56 eV per atom.


(9)
Density functional theory data (GGA-PBE) for crystalline CePr8Ho5 at its relaxed geometry.

a = 13.0728 Å, b = 11.1370 Å, c = 9.1987 Å
α = 90.00°, β = 133.86°, γ = 90.00°
Space group C2 (No. 5)
Symmetry-distinct sites (fractional):
Ce1 0.0000 0.0000 0.0000 [2 per cell]
Pr1 0.0654 0.2090 0.2756 [4 per cell]
Pr2 0.0686 0.7822 0.2858 [4 per cell]
Pr3 0.1561 0.4965 0.0524 [4 per cell]
Pr4 0.1898 0.3033 0.7644 [4 per cell]
Ho1 0.0000 0.9915 0.5000 [2 per cell]
Ho2 0.1673 0.4962 0.4546 [4 per cell]
Ho3 0.1856 0.6895 0.7535 [4 per cell]

Output
As for the total DFT energy (no corrections): -4.62 eV per atom.


(10)
Density functional theory data (GGA-PBE) for crystalline Ce2PrHo8 at its relaxed geometry.

a = 18.8486 Å, b = 7.0045 Å, c = 5.4797 Å
α = 90.00°, β = 92.71°, γ = 90.00°
Space group C2/m (No. 12)
Symmetry-distinct sites (fractional):
Ce1 0.2134 0.0000 0.2558 [4 per cell]
Pr1 0.0000 0.5000 0.0000 [2 per cell]
Ho1 0.0468 0.0000 0.2399 [4 per cell]
Ho2 0.1327 0.2323 0.7352 [8 per cell]
Ho3 0.1878 0.5000 0.2337 [4 per cell]

Output
As for the total DFT energy (no corrections): -4.65 eV per atom.


(11)
Density functional theory data (GGA-PBE) for crystalline CePr4Ho10 at its relaxed geometry.

a = 11.2485 Å, b = 11.2485 Å, c = 7.9993 Å
α = 90.00°, β = 90.00°, γ = 90.00°
Space group I4/mmm (No. 139)
Symmetry-distinct sites (fractional):
Ce1 0.0000 0.0000 0.0000 [2 per cell]
Pr1 0.2259 0.2259 0.0000 [8 per cell]
Ho1 0.0000 0.2058 0.2942 [16 per cell]
Ho2 0.0000 0.5000 0.2500 [4 per cell]

Output
As for the total DFT energy (no corrections): -4.46 eV per atom.


(12)
Density functional theory data (GGA-PBE) for crystalline CePr2Ho6 at its relaxed geometry.

a = 9.7680 Å, b = 9.7680 Å, c = 3.5264 Å
α = 90.00°, β = 90.00°, γ = 120.00°
Space group P-3 (No. 147)
Symmetry-distinct sites (fractional):
Ce1 0.0000 0.0000 0.0000 [1 per cell]
Pr1 0.3333 0.6667 0.2361 [2 per cell]
Ho1 0.0211 0.3476 0.7302 [6 per cell]

Output
As for the total DFT energy (no corrections): -4.67 eV per atom.


Number 1: M_tot 1.0 μB/cell. Number 2: M_tot 5.0 μB/cell. Number 3: M_tot 0.8 μB/cell. Number 4: M_tot 2.5 μB/cell. Number 5: M_tot 1.9 μB/cell. Number 6: M_tot 1.5 μB/cell. Number 7: M_tot 12.8 μB/cell. Number 8: M_tot 2.2 μB/cell. Number 9: M_tot 2.2 μB/cell. Number 10: M_tot 3.1 μB/cell. Number 11: M_tot 0.0 μB/cell. Number 12: M_tot 1.7 μB/cell.